[1]
PBE AlS3N, relaxed; space group = Pm-3m (221); crystal system = cubic; ΔE to the lowest computed polymorph = 0 meV per atom; V = 69.54 Å³/cell; E = -3.98 eV/atom; spin magnetization = 0.0000 μB per atom
1.0
4.1122 0.0000 0.0000
0.0000 4.1122 0.0000
0.0000 0.0000 4.1122
Al S N
1 3 1
Direct
0.0000 0.0000 0.0000 Al
0.0000 0.5000 0.5000 S
0.5000 0.0000 0.5000 S
0.5000 0.5000 0.0000 S
0.5000 0.5000 0.5000 N

***

[2]
PBE AlSbSN2, relaxed; space group = P4/mmm (123); crystal system = tetragonal; ΔE to the lowest computed polymorph = 0 meV per atom; V = 72.46 Å³/cell; E = -5.16 eV/atom; spin magnetization = 0.0000 μB per atom
1.0
3.8063 0.0000 0.0000
0.0000 3.8063 0.0000
0.0000 0.0000 5.0011
Al Sb S N
1 1 1 2
Direct
0.0000 0.0000 0.0000 Al
0.5000 0.5000 0.5000 Sb
0.0000 0.0000 0.5000 S
0.0000 0.5000 0.0000 N
0.5000 0.0000 0.0000 N

***

[3]
PBE AlSbSN2, relaxed; space group = P4/mmm (123); crystal system = tetragonal; ΔE to the lowest computed polymorph = 491 meV per atom; V = 83.54 Å³/cell; E = -4.67 eV/atom; spin magnetization = 0.1037 μB per atom
1.0
3.9531 0.0000 0.0000
0.0000 3.9531 0.0000
0.0000 0.0000 5.3455
Al Sb S N
1 1 1 2
Direct
0.0000 0.0000 0.0000 Al
0.5000 0.5000 0.5000 Sb
0.5000 0.5000 0.0000 S
0.0000 0.5000 0.5000 N
0.5000 0.0000 0.5000 N

***

[4]
PBE AlSbS2N, relaxed; space group = P4/mmm (123); crystal system = tetragonal; ΔE to the lowest computed polymorph = 0 meV per atom; V = 85.81 Å³/cell; E = -4.77 eV/atom; spin magnetization = 0.2788 μB per atom
1.0
4.8363 0.0000 0.0000
0.0000 4.8363 0.0000
0.0000 0.0000 3.6687
Al Sb S N
1 1 2 1
Direct
0.0000 0.0000 0.0000 Al
0.5000 0.5000 0.5000 Sb
0.0000 0.5000 0.0000 S
0.5000 0.0000 0.0000 S
0.0000 0.0000 0.5000 N

***

[5]
PBE AlSbS2N, relaxed; space group = P4/mmm (123); crystal system = tetragonal; ΔE to the lowest computed polymorph = 618 meV per atom; V = 100.56 Å³/cell; E = -4.16 eV/atom; spin magnetization = 0.0000 μB per atom
1.0
5.0625 0.0000 0.0000
0.0000 5.0625 0.0000
0.0000 0.0000 3.9238
Al Sb S N
1 1 2 1
Direct
0.0000 0.0000 0.0000 Al
0.5000 0.5000 0.5000 Sb
0.0000 0.5000 0.5000 S
0.5000 0.0000 0.5000 S
0.5000 0.5000 0.0000 N

***

[6]
PBE ScAlS2N, relaxed; space group = P4/mmm (123); crystal system = tetragonal; ΔE to the lowest computed polymorph = 0 meV per atom; V = 80.55 Å³/cell; E = -5.87 eV/atom; spin magnetization = 0.2051 μB per atom
1.0
4.7065 0.0000 0.0000
0.0000 4.7065 0.0000
0.0000 0.0000 3.6363
Sc Al S N
1 1 2 1
Direct
0.0000 0.0000 0.0000 Sc
0.5000 0.5000 0.5000 Al
0.0000 0.5000 0.5000 S
0.5000 0.0000 0.5000 S
0.5000 0.5000 0.0000 N

***

[7]
PBE ScAlSN2, relaxed; space group = P4/mmm (123); crystal system = tetragonal; ΔE to the lowest computed polymorph = 0 meV per atom; V = 68.08 Å³/cell; E = -6.45 eV/atom; spin magnetization = 0.0000 μB per atom
1.0
3.6923 0.0000 0.0000
0.0000 3.6923 0.0000
0.0000 0.0000 4.9936
Sc Al S N
1 1 1 2
Direct
0.0000 0.0000 0.0000 Sc
0.5000 0.5000 0.5000 Al
0.5000 0.5000 0.0000 S
0.0000 0.5000 0.5000 N
0.5000 0.0000 0.5000 N

***

[8]
PBE ScAlS2N, relaxed; space group = P4/mmm (123); crystal system = tetragonal; ΔE to the lowest computed polymorph = 588 meV per atom; V = 101.71 Å³/cell; E = -5.28 eV/atom; spin magnetization = 0.3698 μB per atom
1.0
5.0007 0.0000 0.0000
0.0000 5.0007 0.0000
0.0000 0.0000 4.0675
Sc Al S N
1 1 2 1
Direct
0.0000 0.0000 0.0000 Sc
0.5000 0.5000 0.5000 Al
0.0000 0.5000 0.0000 S
0.5000 0.0000 0.0000 S
0.0000 0.0000 0.5000 N

***

[9]
PBE ScAlSN2, relaxed; space group = P4/mmm (123); crystal system = tetragonal; ΔE to the lowest computed polymorph = 789 meV per atom; V = 84.48 Å³/cell; E = -5.66 eV/atom; spin magnetization = 0.0000 μB per atom
1.0
3.9637 0.0000 0.0000
0.0000 3.9637 0.0000
0.0000 0.0000 5.3773
Sc Al S N
1 1 1 2
Direct
0.0000 0.0000 0.0000 Sc
0.5000 0.5000 0.5000 Al
0.0000 0.0000 0.5000 S
0.0000 0.5000 0.0000 N
0.5000 0.0000 0.0000 N

***

[10]
PBE ScAlSN2, relaxed; space group = P4/mmm (123); crystal system = tetragonal; ΔE to the lowest computed polymorph = 1514 meV per atom; V = 74.62 Å³/cell; E = -4.93 eV/atom; spin magnetization = 0.0000 μB per atom
1.0
3.9838 0.0000 0.0000
0.0000 3.9838 0.0000
0.0000 0.0000 4.7019
Sc Al S N
1 1 1 2
Direct
0.0000 0.0000 0.0000 Sc
0.5000 0.5000 0.0000 Al
0.0000 0.0000 0.5000 S
0.0000 0.5000 0.5000 N
0.5000 0.0000 0.5000 N

***

[11]
PBE AlSe2SN, relaxed; space group = P4/mmm (123); crystal system = tetragonal; ΔE to the lowest computed polymorph = 0 meV per atom; V = 90.21 Å³/cell; E = -4.04 eV/atom; spin magnetization = 0.0000 μB per atom
1.0
5.0601 0.0000 0.0000
0.0000 5.0601 0.0000
0.0000 0.0000 3.5233
Al Se S N
1 2 1 1
Direct
0.0000 0.0000 0.0000 Al
0.0000 0.5000 0.0000 Se
0.5000 0.0000 0.0000 Se
0.5000 0.5000 0.5000 S
0.0000 0.0000 0.5000 N

***

[12]
PBE AlSeS2N, relaxed; space group = P4/mmm (123); crystal system = tetragonal; ΔE to the lowest computed polymorph = 436 meV per atom; V = 88.14 Å³/cell; E = -3.81 eV/atom; spin magnetization = 0.0007 μB per atom
1.0
4.9044 0.0000 0.0000
0.0000 4.9044 0.0000
0.0000 0.0000 3.6643
Al Se S N
1 1 2 1
Direct
0.0000 0.0000 0.0000 Al
0.5000 0.5000 0.5000 Se
0.0000 0.5000 0.5000 S
0.5000 0.0000 0.5000 S
0.5000 0.5000 0.0000 N

***

[13]
PBE AlSeS2N, relaxed; space group = P4/mmm (123); crystal system = tetragonal; ΔE to the lowest computed polymorph = 0 meV per atom; V = 82.59 Å³/cell; E = -4.24 eV/atom; spin magnetization = 0.0004 μB per atom
1.0
4.8146 0.0000 0.0000
0.0000 4.8146 0.0000
0.0000 0.0000 3.5629
Al Se S N
1 1 2 1
Direct
0.0000 0.0000 0.0000 Al
0.5000 0.5000 0.5000 Se
0.0000 0.5000 0.0000 S
0.5000 0.0000 0.0000 S
0.0000 0.0000 0.5000 N

***

[14]
PBE AlSeSN2, relaxed; space group = P4/mmm (123); crystal system = tetragonal; ΔE to the lowest computed polymorph = 0 meV per atom; V = 92.68 Å³/cell; E = -4.75 eV/atom; spin magnetization = 0.0000 μB per atom
1.0
3.5986 0.0000 0.0000
0.0000 3.5986 0.0000
0.0000 0.0000 7.1564
Al Se S N
1 1 1 2
Direct
0.0000 0.0000 0.0000 Al
0.5000 0.5000 0.5000 Se
0.0000 0.0000 0.5000 S
0.0000 0.5000 0.0000 N
0.5000 0.0000 0.0000 N

***

[15]
PBE AlSeSN2, relaxed; space group = P4/mmm (123); crystal system = tetragonal; ΔE to the lowest computed polymorph = 326 meV per atom; V = 75.93 Å³/cell; E = -4.43 eV/atom; spin magnetization = 0.0000 μB per atom
1.0
3.5017 0.0000 0.0000
0.0000 3.5017 0.0000
0.0000 0.0000 6.1921
Al Se S N
1 1 1 2
Direct
0.0000 0.0000 0.0000 Al
0.5000 0.5000 0.0000 Se
0.0000 0.0000 0.5000 S
0.0000 0.5000 0.5000 N
0.5000 0.0000 0.5000 N

***

[16]
PBE AlSe2SN, relaxed; space group = P4/mmm (123); crystal system = tetragonal; ΔE to the lowest computed polymorph = 212 meV per atom; V = 87.01 Å³/cell; E = -3.83 eV/atom; spin magnetization = 0.0000 μB per atom
1.0
5.0539 0.0000 0.0000
0.0000 5.0539 0.0000
0.0000 0.0000 3.4065
Al Se S N
1 2 1 1
Direct
0.0000 0.0000 0.0000 Al
0.0000 0.5000 0.5000 Se
0.5000 0.0000 0.5000 Se
0.5000 0.5000 0.5000 S
0.5000 0.5000 0.0000 N

***

[17]
PBE AlSeSN2, relaxed; space group = P4/mmm (123); crystal system = tetragonal; ΔE to the lowest computed polymorph = 454 meV per atom; V = 84.11 Å³/cell; E = -4.30 eV/atom; spin magnetization = 0.0001 μB per atom
1.0
3.6662 0.0000 0.0000
0.0000 3.6662 0.0000
0.0000 0.0000 6.2580
Al Se S N
1 1 1 2
Direct
0.0000 0.0000 0.0000 Al
0.5000 0.5000 0.5000 Se
0.5000 0.5000 0.0000 S
0.0000 0.5000 0.5000 N
0.5000 0.0000 0.5000 N

***

[18]
PBE AlSiSN2, relaxed; space group = P4/mmm (123); crystal system = tetragonal; ΔE to the lowest computed polymorph = 0 meV per atom; V = 66.60 Å³/cell; E = -5.76 eV/atom; spin magnetization = 0.0547 μB per atom
1.0
3.4422 0.0000 0.0000
0.0000 3.4422 0.0000
0.0000 0.0000 5.6204
Al Si S N
1 1 1 2
Direct
0.0000 0.0000 0.0000 Al
0.5000 0.5000 0.5000 Si
0.5000 0.5000 0.0000 S
0.0000 0.5000 0.5000 N
0.5000 0.0000 0.5000 N

***

[19]
PBE AlSiSN2, relaxed; space group = P4/mmm (123); crystal system = tetragonal; ΔE to the lowest computed polymorph = 525 meV per atom; V = 70.02 Å³/cell; E = -5.24 eV/atom; spin magnetization = 0.1308 μB per atom
1.0
3.6491 0.0000 0.0000
0.0000 3.6491 0.0000
0.0000 0.0000 5.2586
Al Si S N
1 1 1 2
Direct
0.0000 0.0000 0.0000 Al
0.5000 0.5000 0.5000 Si
0.0000 0.0000 0.5000 S
0.0000 0.5000 0.0000 N
0.5000 0.0000 0.0000 N

***

[20]
PBE SrAlS2N, relaxed; space group = P4/mmm (123); crystal system = tetragonal; ΔE to the lowest computed polymorph = 0 meV per atom; V = 92.53 Å³/cell; E = -5.15 eV/atom; spin magnetization = 0.3920 μB per atom
1.0
4.9071 0.0000 0.0000
0.0000 4.9071 0.0000
0.0000 0.0000 3.8428
Sr Al S N
1 1 2 1
Direct
0.0000 0.0000 0.0000 Sr
0.5000 0.5000 0.5000 Al
0.0000 0.5000 0.5000 S
0.5000 0.0000 0.5000 S
0.5000 0.5000 0.0000 N

***

[21]
PBE SrAlS2N, relaxed; space group = P4/mmm (123); crystal system = tetragonal; ΔE to the lowest computed polymorph = 1577 meV per atom; V = 157.79 Å³/cell; E = -3.57 eV/atom; spin magnetization = 0.8059 μB per atom
1.0
5.6494 0.0000 0.0000
0.0000 5.6494 0.0000
0.0000 0.0000 4.9439
Sr Al S N
1 1 2 1
Direct
0.0000 0.0000 0.0000 Sr
0.5000 0.5000 0.5000 Al
0.0000 0.5000 0.0000 S
0.5000 0.0000 0.0000 S
0.0000 0.0000 0.5000 N

***

[22]
PBE TaAlS2N, relaxed; space group = P4/mmm (123); crystal system = tetragonal; ΔE to the lowest computed polymorph = 434 meV per atom; V = 75.78 Å³/cell; E = -6.13 eV/atom; spin magnetization = 0.0539 μB per atom
1.0
4.6328 0.0000 0.0000
0.0000 4.6328 0.0000
0.0000 0.0000 3.5308
Ta Al S N
1 1 2 1
Direct
0.0000 0.0000 0.0000 Ta
0.5000 0.5000 0.5000 Al
0.0000 0.5000 0.5000 S
0.5000 0.0000 0.5000 S
0.5000 0.5000 0.0000 N

***

[23]
PBE TaAlS2N, relaxed; space group = P4/mmm (123); crystal system = tetragonal; ΔE to the lowest computed polymorph = 0 meV per atom; V = 94.55 Å³/cell; E = -6.56 eV/atom; spin magnetization = 0.0000 μB per atom
1.0
4.9257 0.0000 0.0000
0.0000 4.9257 0.0000
0.0000 0.0000 3.8970
Ta Al S N
1 1 2 1
Direct
0.0000 0.0000 0.0000 Ta
0.5000 0.5000 0.5000 Al
0.0000 0.5000 0.0000 S
0.5000 0.0000 0.0000 S
0.0000 0.0000 0.5000 N

***

[24]
PBE AlTe2SN, relaxed; space group = P4/mmm (123); crystal system = tetragonal; ΔE to the lowest computed polymorph = 253 meV per atom; V = 116.39 Å³/cell; E = -3.73 eV/atom; spin magnetization = 0.0000 μB per atom
1.0
5.9993 0.0000 0.0000
0.0000 5.9993 0.0000
0.0000 0.0000 3.2337
Al Te S N
1 2 1 1
Direct
0.0000 0.0000 0.0000 Al
0.0000 0.5000 0.5000 Te
0.5000 0.0000 0.5000 Te
0.5000 0.5000 0.5000 S
0.5000 0.5000 0.0000 N

***

[25]
PBE AlTe2SN, relaxed; space group = P4/mmm (123); crystal system = tetragonal; ΔE to the lowest computed polymorph = 0 meV per atom; V = 106.10 Å³/cell; E = -3.99 eV/atom; spin magnetization = 0.0000 μB per atom
1.0
5.5111 0.0000 0.0000
0.0000 5.5111 0.0000
0.0000 0.0000 3.4933
Al Te S N
1 2 1 1
Direct
0.0000 0.0000 0.0000 Al
0.0000 0.5000 0.0000 Te
0.5000 0.0000 0.0000 Te
0.5000 0.5000 0.5000 S
0.0000 0.0000 0.5000 N

***

[26]
PBE TiAlS2N, relaxed; space group = P4/mmm (123); crystal system = tetragonal; ΔE to the lowest computed polymorph = 90 meV per atom; V = 77.13 Å³/cell; E = -5.69 eV/atom; spin magnetization = 0.0001 μB per atom
1.0
4.6569 0.0000 0.0000
0.0000 4.6569 0.0000
0.0000 0.0000 3.5566
Ti Al S N
1 1 2 1
Direct
0.0000 0.0000 0.0000 Ti
0.5000 0.5000 0.5000 Al
0.0000 0.5000 0.5000 S
0.5000 0.0000 0.5000 S
0.5000 0.5000 0.0000 N

***

[27]
PBE TiAlS2N, relaxed; space group = P4/mmm (123); crystal system = tetragonal; ΔE to the lowest computed polymorph = 0 meV per atom; V = 87.75 Å³/cell; E = -5.78 eV/atom; spin magnetization = 0.1016 μB per atom
1.0
4.8472 0.0000 0.0000
0.0000 4.8472 0.0000
0.0000 0.0000 3.7346
Ti Al S N
1 1 2 1
Direct
0.0000 0.0000 0.0000 Ti
0.5000 0.5000 0.5000 Al
0.0000 0.5000 0.0000 S
0.5000 0.0000 0.0000 S
0.0000 0.0000 0.5000 N

***

[28]
PBE AlVS2N, relaxed; space group = P4/mmm (123); crystal system = tetragonal; ΔE to the lowest computed polymorph = 441 meV per atom; V = 77.27 Å³/cell; E = -5.51 eV/atom; spin magnetization = 0.2008 μB per atom
1.0
4.6649 0.0000 0.0000
0.0000 4.6649 0.0000
0.0000 0.0000 3.5511
Al V S N
1 1 2 1
Direct
0.0000 0.0000 0.0000 Al
0.5000 0.5000 0.5000 V
0.0000 0.5000 0.0000 S
0.5000 0.0000 0.0000 S
0.0000 0.0000 0.5000 N

***

[29]
PBE AlVSN2, relaxed; space group = P4/mmm (123); crystal system = tetragonal; ΔE to the lowest computed polymorph = 455 meV per atom; V = 63.75 Å³/cell; E = -6.13 eV/atom; spin magnetization = 0.0834 μB per atom
1.0
3.6449 0.0000 0.0000
0.0000 3.6449 0.0000
0.0000 0.0000 4.7986
Al V S N
1 1 1 2
Direct
0.0000 0.0000 0.0000 Al
0.5000 0.5000 0.5000 V
0.0000 0.0000 0.5000 S
0.0000 0.5000 0.0000 N
0.5000 0.0000 0.0000 N